Entry from OQMD: a geometry-optimized Ba2NbAg3N4 structure (PBE).

The structure in POSCAR format:
```
Ba2NbAg3N4
1.0
6.430 -3.120 0.000
6.430 3.120 0.000
-5.427 0.000 9.704
Ba Nb Ag N
4 2 6 8
Cartesian
-0.718 1.923 8.544
5.437 1.923 6.012
1.996 -1.923 3.692
8.150 -1.923 1.160
5.073 0.997 2.426
2.360 -0.997 7.278
2.360 2.267 7.278
2.463 1.194 4.633
7.684 1.194 0.219
-0.251 -1.194 9.485
4.970 -1.194 5.071
5.073 -2.267 2.426
3.649 2.165 3.171
6.497 2.165 1.681
1.343 0.026 5.918
4.056 -0.026 1.066
3.377 0.026 8.638
6.090 -0.026 3.786
0.935 -2.165 8.023
3.784 -2.165 6.533
```

Results
* total magnetization: 0.00 μB/f.u.
* mass density: 6.374 g/cm3
* space-group type: C2/c, No. 15
* crystal system: monoclinic
* uncorrected energy: -5.811 eV/atom